Entry 1:
Material: CsYHgTe3
Method: DFT, PBE-GGA
State: optimized geometry

```
12
Lattice="9.6009 0.0000 0.0000 0.0000 4.5401 0.0000 -4.2090 0.0000 10.7948" Properties=species:S:1:pos:R:3 pbc="T T T"
Cs 1.4933 1.1350 2.3311
Cs 3.8986 3.4051 8.4636
Y -0.9691 3.4051 6.8537
Y 6.3610 1.1350 3.9411
Hg 0.3141 1.1350 9.4978
Hg 5.0778 3.4051 1.2970
Te -1.1471 3.4051 3.8289
Te -1.4242 3.4051 10.0935
Te 1.2087 1.1350 6.8374
Te 4.1832 3.4051 3.9573
Te 6.8161 1.1350 0.7012
Te 6.5390 1.1350 6.9659
```

Space-group type: P2_1/m (11)
Size of the total moment: 0.00 Bohr magnetons per cell

***

Entry 2:
Material: CsYHgTe3
Method: DFT, PBE-GGA
State: optimized geometry

```
12
Lattice="10.1419 -2.2567 0.0000 10.1419 2.2567 0.0000 -1.8278 0.0000 9.9657" Properties=species:S:1:pos:R:3 pbc="T T T"
Cs 2.8988 0.0000 0.5960
Cs 15.5572 0.0000 9.3697
Y 2.4564 0.0000 5.6284
Y 15.9996 0.0000 4.3372
Hg 9.2071 0.0000 2.8038
Hg 9.2489 0.0000 7.1619
Te -0.9139 0.0000 4.9828
Te 5.4346 0.0000 6.3610
Te 6.3328 0.0000 2.3084
Te 10.1419 0.0000 0.0000
Te 12.1231 0.0000 7.6572
Te 13.0214 0.0000 3.6047
```

Space-group type: C2/m (12)
Size of the total moment: 0.08 Bohr magnetons per cell

***

Entry 3:
Material: CsTlHg
Method: DFT, PBE-GGA
State: optimized geometry

```
12
Lattice="8.2955 0.0000 0.0000 0.0000 8.2955 0.0000 0.0000 0.0000 8.2955" Properties=species:S:1:pos:R:3 pbc="T T T"
Cs 0.0000 0.0000 0.0000
Cs 0.0000 4.1478 4.1478
Cs 4.1478 0.0000 4.1478
Cs 4.1478 4.1478 0.0000
Tl 2.0739 2.0739 2.0739
Tl 2.0739 6.2217 6.2217
Tl 6.2217 2.0739 6.2217
Tl 6.2217 6.2217 2.0739
Hg 0.0000 0.0000 4.1478
Hg 0.0000 4.1478 0.0000
Hg 4.1478 0.0000 0.0000
Hg 4.1478 4.1478 4.1478
```

Space-group type: F-43m (216)
Energy above the most stable polymorph in this dataset: 17 kJ/mol of formula units

***

Entry 4:
Material: CsTlHg4
Method: DFT, PBE-GGA
State: optimized geometry

```
12
Lattice="5.3310 0.0000 0.0000 0.0000 8.4005 0.0000 0.0000 0.0000 9.1614" Properties=species:S:1:pos:R:3 pbc="T T T"
Cs 0.0000 0.0000 0.0000
Cs 2.6655 4.2003 4.5807
Tl 0.0000 4.2003 8.2205
Tl 2.6655 0.0000 3.6399
Hg 0.0000 1.5687 5.5104
Hg 0.0000 2.5776 2.5325
Hg 0.0000 5.8229 2.5325
Hg 0.0000 6.8318 5.5104
Hg 2.6655 1.6227 7.1132
Hg 2.6655 2.6315 0.9297
Hg 2.6655 5.7690 0.9297
Hg 2.6655 6.7779 7.1132
```

Space-group type: Imm2 (44)

***

Entry 5:
Material: CsTlHg
Method: DFT, PBE-GGA
State: optimized geometry

```
12
Lattice="8.2186 0.0000 0.0000 0.0000 8.2186 0.0000 0.0000 0.0000 8.2186" Properties=species:S:1:pos:R:3 pbc="T T T"
Cs 0.0000 0.0000 0.0000
Cs 0.0000 4.1093 4.1093
Cs 4.1093 0.0000 4.1093
Cs 4.1093 4.1093 0.0000
Tl 0.0000 0.0000 4.1093
Tl 0.0000 4.1093 0.0000
Tl 4.1093 0.0000 0.0000
Tl 4.1093 4.1093 4.1093
Hg 2.0547 2.0547 2.0547
Hg 2.0547 6.1640 6.1640
Hg 6.1640 2.0547 6.1640
Hg 6.1640 6.1640 2.0547
```

Space-group type: F-43m (216)
Energy above the most stable polymorph in this dataset: 0 kJ/mol of formula units

***

Entry 6:
Material: CsTlHg
Method: DFT, PBE-GGA
State: optimized geometry

```
12
Lattice="8.4573 0.0000 0.0000 0.0000 8.4573 0.0000 0.0000 0.0000 8.4573" Properties=species:S:1:pos:R:3 pbc="T T T"
Cs 0.0000 0.0000 0.0000
Cs 0.0000 4.2287 4.2287
Cs 4.2287 0.0000 4.2287
Cs 4.2287 4.2287 0.0000
Tl 2.1143 2.1143 2.1143
Tl 2.1143 6.3430 6.3430
Tl 6.3430 2.1143 6.3430
Tl 6.3430 6.3430 2.1143
Hg 2.1143 2.1143 6.3430
Hg 2.1143 6.3430 2.1143
Hg 6.3430 2.1143 2.1143
Hg 6.3430 6.3430 6.3430
```

Space-group type: F-43m (216)
Energy above the most stable polymorph in this dataset: 57 kJ/mol of formula units

***

Entry 7:
Material: CsTmHg
Method: DFT, PBE-GGA
State: optimized geometry

```
12
Lattice="7.6996 0.0000 0.0000 0.0000 7.6996 0.0000 0.0000 0.0000 7.6996" Properties=species:S:1:pos:R:3 pbc="T T T"
Cs 0.0000 0.0000 0.0000
Cs 0.0000 3.8498 3.8498
Cs 3.8498 0.0000 3.8498
Cs 3.8498 3.8498 0.0000
Tm 1.9249 1.9249 1.9249
Tm 1.9249 5.7747 5.7747
Tm 5.7747 1.9249 5.7747
Tm 5.7747 5.7747 1.9249
Hg 0.0000 0.0000 3.8498
Hg 0.0000 3.8498 0.0000
Hg 3.8498 0.0000 0.0000
Hg 3.8498 3.8498 3.8498
```

Space-group type: F-43m (216)
Size of the total moment: 0.00 Bohr magnetons per cell

***

Entry 8:
Material: CsHo2
Method: DFT, PBE-GGA
State: optimized geometry

```
6
Lattice="0.0000 5.1362 5.1362 5.1362 0.0000 5.1362 5.1362 5.1362 0.0000" Properties=species:S:1:pos:R:3 pbc="T T T"
Cs 1.2841 1.2841 1.2841
Cs 8.9884 8.9884 8.9884
Ho 5.1362 2.5681 2.5681
Ho 2.5681 5.1362 2.5681
Ho 2.5681 2.5681 5.1362
Ho 5.1362 5.1362 5.1362
```

Space-group type: Fd-3m (227)
Size of the total moment: 2.01 Bohr magnetons per cell

***

Entry 9:
Material: CsHo
Method: DFT, PBE-GGA
State: optimized geometry

```
8
Lattice="8.8707 0.0000 0.0000 0.0000 8.8707 0.0000 0.0000 0.0000 8.8707" Properties=species:S:1:pos:R:3 pbc="T T T"
Cs 0.0000 0.0000 0.0000
Cs 0.0000 4.4353 4.4353
Cs 4.4353 0.0000 4.4353
Cs 4.4353 4.4353 0.0000
Ho 2.2177 2.2177 6.6530
Ho 2.2177 6.6530 2.2177
Ho 6.6530 2.2177 2.2177
Ho 6.6530 6.6530 6.6530
```

Space-group type: F-43m (216)
Energy above the most stable polymorph in this dataset: 85 kJ/mol of formula units
Size of the total moment: 7.99 Bohr magnetons per cell

***

Entry 10:
Material: CsHo
Method: DFT, PBE-GGA
State: optimized geometry

```
8
Lattice="7.6496 0.0000 0.0000 0.0000 7.6496 0.0000 0.0000 0.0000 7.6496" Properties=species:S:1:pos:R:3 pbc="T T T"
Cs 0.0000 0.0000 0.0000
Cs 0.0000 3.8248 3.8248
Cs 3.8248 0.0000 3.8248
Cs 3.8248 3.8248 0.0000
Ho 0.0000 0.0000 3.8248
Ho 0.0000 3.8248 0.0000
Ho 3.8248 0.0000 0.0000
Ho 3.8248 3.8248 3.8248
```

Space-group type: Fm-3m (225)
Energy above the most stable polymorph in this dataset: 0 kJ/mol of formula units
Size of the total moment: 0.06 Bohr magnetons per cell

***

Entry 11:
Material: Cs2HoI4
Method: DFT, PBE-GGA
State: optimized geometry

```
14
Lattice="6.0182 0.0000 0.0000 0.0000 6.0182 0.0000 0.0000 0.0000 19.3367" Properties=species:S:1:pos:R:3 pbc="T T T"
Cs 0.0000 0.0000 2.7465
Cs 0.0000 0.0000 16.5901
Cs 3.0091 3.0091 6.9218
Cs 3.0091 3.0091 12.4149
Ho 0.0000 0.0000 9.6683
Ho 3.0091 3.0091 0.0000
I 0.0000 0.0000 6.5485
I 0.0000 0.0000 12.7882
I 0.0000 3.0091 0.0000
I 0.0000 3.0091 9.6683
I 3.0091 0.0000 0.0000
I 3.0091 0.0000 9.6683
I 3.0091 3.0091 3.1199
I 3.0091 3.0091 16.2168
```

Space-group type: I4/mmm (139)
Size of the total moment: 1.35 Bohr magnetons per cell

***

Entry 12:
Material: Cs2KHoI6
Method: DFT, PBE-GGA
State: optimized geometry

```
10
Lattice="0.0000 6.3964 6.3964 6.3964 0.0000 6.3964 6.3964 6.3964 0.0000" Properties=species:S:1:pos:R:3 pbc="T T T"
Cs 3.1982 3.1982 3.1982
Cs 9.5945 9.5945 9.5945
K 0.0000 0.0000 0.0000
Ho 6.3964 6.3964 6.3964
I 6.3964 6.3964 3.3829
I 6.3964 3.3829 6.3964
I 9.4098 6.3964 6.3964
I 3.3829 6.3964 6.3964
I 6.3964 9.4098 6.3964
I 6.3964 6.3964 9.4098
```

Space-group type: Fm-3m (225)
Size of the total moment: 0.00 Bohr magnetons per cell

***

Total DFT energy (no corrections) for every record listed, in sequence, given in eV/atom: -3.820 -3.716 -1.082 -0.852 -1.140 -0.942 -1.275 -2.611 -0.897 -1.340 -3.106 -3.146.